Density functional theory data (PBE-GGA) for a geometry-optimized Cd2Bi2Pd structure.

```
data_Cd2Bi2Pd
_chemical_formula_sum 'Cd4 Bi4 Pd2'
_symmetry_space_group_name_H-M 'P 4/m b m'
_symmetry_Int_Tables_number 127
_symmetry_space_group_name_Hall '-P 4 2ab'
_cell_length_a 7.218
_cell_length_b 7.218
_cell_length_c 4.853
_cell_angle_alpha 90.00
_cell_angle_beta 90.00
_cell_angle_gamma 90.00
loop_
_atom_site_label
_atom_site_type_symbol
_atom_site_fract_x
_atom_site_fract_y
_atom_site_fract_z
Cd1 Cd 0.147 0.353 0.000
Bi1 Bi 0.166 0.666 0.500
Pd1 Pd 0.000 0.000 0.000
```

Spin magnetization, μB/cell: 0.00
ρ, g/cm³: 9.8
Electronic total energy, eV/atom: -2.89
E above lowest polymorph, eV/f.u.: 1.07
DFT formation energy, meV per atom: 72